The following is a PBE calculation of VReTcAs after structural relaxation, from Alexandria via LeMat-Bulk.

Computed properties:
ΔE_f ... -0.02 eV/atom

abc: 6.1023 6.1023 6.1023
angles: 90.00 90.00 90.00
Space group F-43m (No. 216)
Inequivalent atoms, fractional coordinates:
V (0.0000, 0.0000, 0.0000) x4
Re (0.2500, 0.2500, 0.2500) x4
Tc (0.2500, 0.2500, 0.7500) x4
As (0.0000, 0.0000, 0.5000) x4

The following is a PBE calculation of TbHf2Ti after structural relaxation, from Alexandria via LeMat-Bulk.

Computed properties:
ΔE_f ... 0.18 eV/atom
Polymorph energy (0 for the lowest one) ... 7.6 meV/atom

abc: 3.1996 3.1996 31.0814
angles: 90.00 90.00 120.00
Space group R3m (No. 160, hexagonal axes)
Inequivalent atoms, fractional coordinates:
Tb (0.0000, 0.0000, 0.0000) x3
Hf (0.0000, 0.0000, 0.2425) x3
Hf (0.0000, 0.0000, 0.4245) x3
Ti (0.0000, 0.0000, 0.8334) x3

The following is a PBE calculation of LiCa2IrOs after structural relaxation, from Alexandria via LeMat-Bulk.

Computed properties:
ΔE_f ... 0.92 eV/atom

abc: 4.8658 4.8658 4.1808
angles: 90.00 90.00 90.00
Space group P4/mmm (No. 123)
Inequivalent atoms, fractional coordinates:
Li (0.0000, 0.0000, 0.0000) x1
Ca (0.0000, 0.5000, 0.0000) x2
Ir (0.0000, 0.0000, 0.5000) x1
Os (0.5000, 0.5000, 0.5000) x1

> Among the records above, which one has the highest ΔE_f?

LiCa2IrOs